Entry 1:
Below is a relaxed SmErSc2 crystal, with properties calculated at the PBE-GGA level.

CIF file:
```
data_SmErSc2
_space_group_name_H-M_alt 'R 3 m'
_space_group_IT_number 160
_space_group_name_Hall 'R 3 -2"'
_cell_length_a 3.4474
_cell_length_b 3.4474
_cell_length_c 32.8708
_cell_angle_alpha 90.00
_cell_angle_beta 90.00
_cell_angle_gamma 120.00
loop_
_atom_site_label
_atom_site_type_symbol
_atom_site_fract_x
_atom_site_fract_y
_atom_site_fract_z
_atom_site_occupancy
Sm1 Sm 0.0000 0.0000 0.0000 1
Er1 Er 0.0000 0.0000 0.1657 1
Sc1 Sc 0.0000 0.0000 0.5814 1
Sc2 Sc 0.0000 0.0000 0.7506 1
```



Entry 2:
Below is a relaxed Ca3Cd8Hg3 crystal, with properties calculated at the PBE-GGA level.

CIF file:
```
data_Ca3Cd8Hg3
_space_group_name_H-M_alt 'I m m m'
_space_group_IT_number 71
_space_group_name_Hall '-I 2 2'
_cell_length_a 4.830
_cell_length_b 11.291
_cell_length_c 13.096
_cell_angle_alpha 90.00
_cell_angle_beta 90.00
_cell_angle_gamma 90.00
loop_
_atom_site_label
_atom_site_type_symbol
_atom_site_fract_x
_atom_site_fract_y
_atom_site_fract_z
_atom_site_occupancy
Ca1 Ca 0.000 0.000 0.000 1
Ca2 Ca 0.000 0.000 0.304 1
Cd1 Cd 0.000 0.271 0.142 1
Cd2 Cd 0.000 0.375 0.349 1
Hg1 Hg 0.000 0.180 0.500 1
Hg2 Hg 0.000 0.500 0.000 1
```



Entry 3:
Below is a relaxed Ba2TlH6Os crystal, with properties calculated at the PBE-GGA level.

CIF file:
```
data_Ba2TlH6Os
_space_group_name_H-M_alt 'P -3 m 1'
_space_group_IT_number 164
_space_group_name_Hall '-P 3 2"'
_cell_length_a 5.3705
_cell_length_b 5.3705
_cell_length_c 7.3712
_cell_angle_alpha 90.00
_cell_angle_beta 90.00
_cell_angle_gamma 120.00
loop_
_atom_site_label
_atom_site_type_symbol
_atom_site_fract_x
_atom_site_fract_y
_atom_site_fract_z
_atom_site_occupancy
Ba1 Ba 0.3333 0.6667 0.3162 1
Tl1 Tl 0.0000 0.0000 0.0000 1
H1 H 0.1548 0.3096 0.6312 1
Os1 Os 0.0000 0.0000 0.5000 1
```



Entry 4:
# PBE-GGA Ca2TeSe, optimized geometry
data_Ca2TeSe
_space_group_name_H-M_alt 'I -4 2 d'
_space_group_IT_number 122
_space_group_name_Hall 'I -4 2bw'
_cell_length_a 6.911
_cell_length_b 6.911
_cell_length_c 13.393
_cell_angle_alpha 90.00
_cell_angle_beta 90.00
_cell_angle_gamma 90.00
loop_
_atom_site_label
_atom_site_type_symbol
_atom_site_fract_x
_atom_site_fract_y
_atom_site_fract_z
_atom_site_occupancy
Ca1 Ca 0.224 0.250 0.125 1
Te1 Te 0.000 0.000 0.500 1
Se1 Se 0.000 0.000 0.000 1
# Formation energy (no corrections)   -1.587 eV/atom



Entry 5:
Below is a relaxed CuAsP2 crystal, with properties calculated at the PBE-GGA level.

CIF file:
```
data_CuAsP2
_space_group_name_H-M_alt 'P 1 2/m 1'
_space_group_IT_number 10
_space_group_name_Hall '-P 2y'
_cell_length_a 2.627
_cell_length_b 3.515
_cell_length_c 6.945
_cell_angle_alpha 90.00
_cell_angle_beta 93.39
_cell_angle_gamma 90.00
loop_
_atom_site_label
_atom_site_type_symbol
_atom_site_fract_x
_atom_site_fract_y
_atom_site_fract_z
_atom_site_occupancy
Cu1 Cu 0.000 0.000 0.000 1
As1 As 0.000 0.000 0.500 1
P1 P 0.035 0.500 0.770 1
```



Entry 6:
Below is a relaxed Be2GaHg crystal, with properties calculated at the PBE-GGA level.

CIF file:
```
data_Be2GaHg
_space_group_name_H-M_alt 'F m -3 m'
_space_group_IT_number 225
_space_group_name_Hall '-F 4 2 3'
_cell_length_a 6.134
_cell_length_b 6.134
_cell_length_c 6.134
_cell_angle_alpha 90.00
_cell_angle_beta 90.00
_cell_angle_gamma 90.00
loop_
_atom_site_label
_atom_site_type_symbol
_atom_site_fract_x
_atom_site_fract_y
_atom_site_fract_z
_atom_site_occupancy
Be1 Be 0.250 0.250 0.250 1
Ga1 Ga 0.000 0.000 0.000 1
Hg1 Hg 0.000 0.000 0.500 1
```



| no. | electronic total energy (eV/atom) | magnetization (μB/cell) |
| --- | --- | --- |
| 1 | -5.42 | 0.00 |
| 2 | -1.26 | 0.00 |
| 3 | -4.09 | 0.01 |
| 4 | -4.24 | 0.00 |
| 5 | -4.68 | 0.00 |
| 6 | -2.15 | 0.00 |